[1]
Crystalline InPdN2F at its relaxed geometry. Source: Alexandria, functional PBE.

Geometry as POSCAR:
```
InPdN2F
1.0
3.991 0.000 0.000
0.000 3.991 0.000
0.000 0.000 4.506
In Pd N F
1 1 2 1
Cartesian
0.000 0.000 0.000 In
1.996 1.996 2.253 Pd
0.000 1.996 2.253 N
1.996 0.000 2.253 N
1.996 1.996 0.000 F
```

- distance to the lowest polymorph of the same formula (eV per atom) = 0.000
- SG = P4/mmm, No. 123


[2]
Crystalline MgAl2S at its relaxed geometry. Source: Alexandria, functional PBE.

Geometry as POSCAR:
```
MgAl2S
1.0
-3.705 3.705 2.803
3.705 -3.705 2.803
3.705 3.705 -2.803
Mg Al S
2 4 2
Cartesian
0.000 0.000 0.000 Mg
0.000 3.705 1.402 Mg
1.853 -1.569 2.102 Al
2.136 1.853 0.701 Al
1.853 5.275 -0.701 Al
1.569 1.853 3.504 Al
3.705 0.000 1.402 S
0.000 0.000 2.803 S
```

- distance to the lowest polymorph of the same formula (eV per atom) = 0.000
- SG = I-42d, No. 122


[3]
Crystalline SrPm3Ni at its relaxed geometry. Source: Alexandria, functional PBE.

Geometry as POSCAR:
```
SrPm3Ni
1.0
5.576 0.000 0.000
0.000 5.576 0.000
0.000 0.000 5.576
Sr Pm Ni
1 3 1
Cartesian
0.000 0.000 0.000 Sr
0.000 2.788 2.788 Pm
2.788 0.000 2.788 Pm
2.788 2.788 0.000 Pm
2.788 2.788 2.788 Ni
```

- ΔH_f (0 K) (eV/atom) = 0.006
- SG = Pm-3m, No. 221


[4]
Crystalline CaPt2 at its relaxed geometry. Source: Alexandria, functional PBE.

Geometry as POSCAR:
```
CaPt2
1.0
6.368 0.000 0.000
0.000 4.295 0.000
-2.958 0.000 8.231
Ca Pt
4 8
Cartesian
0.000 0.000 0.000 Ca
-0.756 2.147 2.410 Ca
-0.251 0.000 6.829 Ca
3.377 0.000 1.724 Ca
0.916 0.000 3.153 Pt
0.314 2.147 5.001 Pt
1.888 2.147 0.793 Pt
2.809 2.147 3.695 Pt
2.277 0.000 5.552 Pt
1.574 2.147 7.677 Pt
4.717 0.000 4.292 Pt
4.061 2.147 6.217 Pt
```

- ΔH_f (0 K) (eV/atom) = -0.503
- SG = Pm, No. 6


[5]
Crystalline LaTbDy4S8 at its relaxed geometry. Source: Alexandria, functional PBE.

Geometry as POSCAR:
```
LaTbDy4S8
1.0
4.061 2.345 6.644
-4.061 2.345 6.644
0.000 -4.690 6.644
La Tb Dy S
1 1 4 8
Cartesian
0.000 0.000 0.000 La
0.000 0.000 12.446 Tb
-2.015 -1.163 9.150 Dy
0.000 0.000 4.993 Dy
2.015 -1.163 9.150 Dy
0.000 2.326 9.150 Dy
0.000 -2.224 10.750 S
-1.926 1.112 10.750 S
0.000 0.000 7.620 S
-1.834 -1.059 14.218 S
1.926 1.112 10.750 S
0.000 0.000 17.194 S
1.834 -1.059 14.218 S
0.000 2.118 14.218 S
```

- SG = R3m, No. 160


[6]
Crystalline CeP2PbS8 at its relaxed geometry. Source: Alexandria, functional PBE.

Geometry as POSCAR:
```
CeP2PbS8
1.0
3.020 1.743 8.913
-3.020 1.743 8.913
0.000 -3.487 8.913
Ce P Pb S
1 2 1 8
Cartesian
0.000 0.000 0.000 Ce
0.000 0.000 6.540 P
0.000 0.000 20.198 P
0.000 0.000 13.369 Pb
-1.876 -0.154 10.606 S
0.000 0.000 4.543 S
-0.805 -1.702 16.133 S
1.072 -1.548 10.606 S
-1.072 1.548 16.133 S
0.805 1.702 10.606 S
0.000 0.000 22.196 S
1.876 0.154 16.133 S
```

- SG = R-3, No. 148


[7]
Crystalline BaMg2BiSe at its relaxed geometry. Source: Alexandria, functional PBE.

Geometry as POSCAR:
```
BaMg2BiSe
1.0
5.223 0.000 0.000
0.000 5.223 0.000
0.000 0.000 6.233
Ba Mg Bi Se
1 2 1 1
Cartesian
0.000 0.000 0.000 Ba
0.000 2.612 3.116 Mg
2.612 0.000 3.116 Mg
2.612 2.612 0.000 Bi
0.000 0.000 3.116 Se
```

- SG = P4/mmm, No. 123


[8]
Crystalline TiReO2F at its relaxed geometry. Source: Alexandria, functional PBE.

Geometry as POSCAR:
```
TiReO2F
1.0
3.781 0.000 0.000
0.000 3.781 0.000
0.000 0.000 4.939
Ti Re O F
1 1 2 1
Cartesian
0.000 0.000 0.000 Ti
1.890 1.890 2.469 Re
0.000 1.890 2.469 O
1.890 0.000 2.469 O
1.890 1.890 0.000 F
```

- SG = P4/mmm, No. 123


[9]
Crystalline SmOsF at its relaxed geometry. Source: Alexandria, functional PBE.

Geometry as POSCAR:
```
SmOsF
1.0
3.151 0.000 0.000
0.000 3.151 0.000
0.000 0.000 9.747
Sm Os F
2 2 2
Cartesian
0.788 0.788 1.940 Sm
2.363 2.363 7.807 Sm
0.788 0.788 5.556 Os
2.363 2.363 4.191 Os
0.788 0.788 9.018 F
2.363 2.363 0.729 F
```

- SG = P4/nmm, No. 129


[10]
Crystalline SiAg2Mo at its relaxed geometry. Source: Alexandria, functional PBE.

Geometry as POSCAR:
```
SiAg2Mo
1.0
4.012 0.000 0.000
0.000 1.416 5.750
0.000 -1.416 5.750
Si Ag Mo
1 2 1
Cartesian
0.000 0.000 0.000 Si
0.000 0.000 8.905 Ag
2.006 0.000 1.767 Ag
2.006 0.000 4.904 Mo
```

- SG = Amm2, No. 38


[11]
Crystalline Ga2IrC at its relaxed geometry. Source: Alexandria, functional PBE.

Geometry as POSCAR:
```
Ga2IrC
1.0
-2.785 2.785 4.106
2.785 -2.785 4.106
2.785 2.785 -4.106
Ga Ir C
4 2 2
Cartesian
4.177 0.985 -1.026 Ga
0.985 1.392 1.026 Ga
-1.392 1.799 3.079 Ga
1.799 1.392 5.132 Ga
2.785 0.000 2.053 Ir
0.000 0.000 4.106 Ir
0.000 0.000 0.000 C
0.000 2.785 2.053 C
```

- ΔH_f (0 K) (eV/atom) = 0.750
- SG = I-42d, No. 122


[12]
Crystalline BaIr2W at its relaxed geometry. Source: Alexandria, functional PBE.

Geometry as POSCAR:
```
BaIr2W
1.0
0.000 3.405 3.405
3.405 0.000 3.405
3.405 3.405 0.000
Ba Ir W
1 2 1
Cartesian
0.000 0.000 0.000 Ba
1.702 1.702 1.702 Ir
5.107 5.107 5.107 Ir
3.405 3.405 3.405 W
```

- distance to the lowest polymorph of the same formula (eV per atom) = 0.947
- ΔH_f (0 K) (eV/atom) = 1.021
- SG = Fm-3m, No. 225


no.,energy (hartree per atom)
1,-0.169
2,-0.125
3,-0.159
4,-0.191
5,-0.232
6,-0.184
7,-0.111
8,-0.264
9,-0.275
10,-0.195
11,-0.194
12,-0.262